Here is a geometry-optimized Li2AgRh structure from the Alexandria database. Energies are from PBE.

Properties
D(E_F): 0.49 states/eV per atom
E_form: -29.9 meV/atom
Total magnetization: 0.00 μB per cell
Volume: 15.1 Å³ per atom
E_tot: -3.5375 eV per atom

CIF file:
```
data_Li2AgRh
_chemical_formula_sum 'Li8 Ag4 Rh4'
_symmetry_space_group_name_H-M 'F -4 3 m'
_symmetry_Int_Tables_number 216
_symmetry_space_group_name_Hall 'F -4 2 3'
_cell_length_a 6.2324
_cell_length_b 6.2324
_cell_length_c 6.2324
_cell_angle_alpha 90.00
_cell_angle_beta 90.00
_cell_angle_gamma 90.00
loop_
_atom_site_label
_atom_site_type_symbol
_atom_site_fract_x
_atom_site_fract_y
_atom_site_fract_z
Li1 Li 0.0000 0.0000 0.0000
Li2 Li 0.2500 0.2500 0.2500
Ag1 Ag 0.0000 0.0000 0.5000
Rh1 Rh 0.2500 0.2500 0.7500
```